Record 1
A relaxed LiBe2Hg crystal. Source: Alexandria via LeMat-Bulk, functional PBE-GGA.

Unit cell a=9.0286 b=9.0286 c=9.0286 alpha=153.51 beta=153.51 gamma=37.81
Last column: nearest neighbours and their distance in Å.
Positions (direct):
Li 0.3750 0.6250 0.7500  4 Hg 2.93, 8 Be 3.15
Li 0.6250 0.3750 0.2500  4 Hg 2.93, 8 Be 3.15
Be 0.0000 0.0000 0.0000  2 Be 2.07
Be 0.0000 0.0000 0.5000  2 Be 2.07
Be 0.0000 0.5000 0.0000  2 Be 2.07
Be 0.5000 0.0000 0.5000  2 Be 2.07
Hg 0.1250 0.8750 0.2500  4 Be 2.37
Hg 0.8750 0.1250 0.7500  4 Be 2.37

**Size of the total moment**: 0.0 μB per cell
**Energy of formation from the pure elements**: 0.43 eV/atom
**SG**: No. 141
**E**: -1.99 eV/atom

***

Record 2
A relaxed LiBe2Hg crystal. Source: Alexandria via LeMat-Bulk, functional PBE-GGA.

Unit cell a=4.7075 b=4.7075 c=4.1018 alpha=115.07 beta=115.07 gamma=39.03
Last column: nearest neighbours and their distance in Å.
Positions (direct):
Li 0.0000 0.0000 0.0000  8 Be 2.59-2.79, 4 Hg 2.66-2.75
Be 0.2322 0.2322 0.7367  2 Be 2.25
Be 0.5297 0.5297 0.5298  2 Be 2.25
Hg 0.7707 0.7707 0.2734  8 Be 2.59-2.83, 4 Li 2.66-2.75

**Size of the total moment**: 0.0 μB per cell
**Energy of formation from the pure elements**: 0.22 eV/atom
**SG**: No. 8
**E**: -2.20 eV/atom

***

Record 3
A relaxed Li2BeHg crystal. Source: Alexandria via LeMat-Bulk, functional PBE-GGA.

Unit cell a=2.8882 b=4.3894 c=4.9085 alpha=90.00 beta=90.00 gamma=90.00
Last column: nearest neighbours and their distance in Å.
Positions (direct):
Li 0.0000 0.0000 0.0000  4 Li 2.68-2.89, 4 Hg 2.76-2.94, 4 Be 2.80
Li 0.0000 0.5000 0.3142  4 Li 2.68-2.89, 4 Be 2.79-2.90, 4 Hg 2.82
Be 0.5000 0.5000 0.8017  2 Hg 2.59, 6 Li 2.79-2.80, 2 Be 2.89
Hg 0.5000 0.0000 0.5219  2 Be 2.59, 6 Li 2.76-2.82, 2 Hg 2.89

**Excess energy over the best structure of this formula in the dataset**: 116 meV per atom
**Size of the total moment**: 0.0 μB per cell
**Energy of formation from the pure elements**: 0.05 eV/atom
**SG**: No. 25
**E**: -1.91 eV/atom

***

Record 4
A relaxed Li2BeHg2 crystal. Source: Alexandria via LeMat-Bulk, functional PBE-GGA.

Unit cell a=7.1532 b=7.1532 c=3.2928 alpha=90.00 beta=90.00 gamma=90.00
Last column: nearest neighbours and their distance in Å.
Positions (direct):
Li 0.1357 0.3643 0.0000  6 Hg 2.61-2.71, 1 Li 2.75, 2 Be 2.78
Li 0.3643 0.8643 0.0000  6 Hg 2.61-2.71, 1 Li 2.75, 2 Be 2.78
Li 0.6357 0.1357 0.0000  6 Hg 2.61-2.71, 1 Li 2.75, 2 Be 2.78
Li 0.8643 0.6357 0.0000  6 Hg 2.61-2.71, 1 Li 2.75, 2 Be 2.78
Be 0.0000 0.0000 0.0000  4 Li 2.78
Be 0.5000 0.5000 0.0000  4 Li 2.78
Hg 0.1640 0.6640 0.5000  6 Li 2.61-2.71
Hg 0.3360 0.1640 0.5000  6 Li 2.61-2.71
Hg 0.6640 0.8360 0.5000  6 Li 2.61-2.71
Hg 0.8360 0.3360 0.5000  6 Li 2.61-2.71

**Excess energy over the best structure of this formula in the dataset**: 129 meV per atom
**Size of the total moment**: 0.0 μB per cell
**Energy of formation from the pure elements**: 0.13 eV/atom
**SG**: No. 127
**E**: -1.51 eV/atom